This record from Alexandria via LeMat-Bulk describes an optimized crystal structure of Li4ThAu5. The functional is GGA-PBE.

Calculated values
- SG: P4/mmm
- M_tot: 0.00 μB/f.u.
- Calculated density: 11.82 g cm⁻³
- DOS(E_F): 0.524 states/eV/atom
- Energy of formation from the pure elements: -535.1 meV per atom

a b c (Å): 3.315 3.315 15.909
angles (deg): 90.00 90.00 90.00
Element x y z (fractional)
Th 0.000 0.000 0.000
Au 0.500 0.500 0.682
Au 0.500 0.500 0.318
Au 0.500 0.500 0.136
Au 0.500 0.500 0.864
Au 0.500 0.500 0.500
Li 0.000 0.000 0.409
Li 0.000 0.000 0.771
Li 0.000 0.000 0.591
Li 0.000 0.000 0.229